[1]
First-principles (PBE-GGA) data for a geometry-optimized Ho8ErAl2 structure, as listed in Alexandria.

Values from the calculation:
Distance to the lowest polymorph of the same formula in meV/atom: 0
E in eV/cell: -49.9
Space group: C2/m (12)
Volume in Å³ per atom: 28.380
DFT formation energy in eV per atom: -0.11
Crystal system: monoclinic

Cell: 5.153 8.157 8.544 Å, 113.05 107.55 90.00°
Element x y z (fractional)
Ho: 0.944 0.266 0.888
Ho: 0.390 0.529 0.780
Ho: 0.312 0.048 0.624
Ho: 0.056 0.734 0.112
Al: 0.776 0.358 0.551
Ho: 0.610 0.471 0.220
Er: 0.500 0.000 0.000
Ho: 0.688 0.952 0.376
Al: 0.224 0.642 0.449
Ho: 0.847 0.780 0.695
Ho: 0.153 0.220 0.305


[2]
First-principles (PBE-GGA) data for a geometry-optimized Ac4TmAs5 structure, as listed in Alexandria.

Values from the calculation:
E in eV/cell: -58.5
Space group: I4 (79)
Volume in Å³ per atom: 31.464
DFT formation energy in eV per atom: -1.44
Crystal system: tetragonal

Cell: 6.338 7.726 7.726 Å, 80.31 65.78 65.78°
Element x y z (fractional)
Ac: 0.202 0.202 0.396
Ac: 0.800 0.798 0.604
Tm: 0.001 0.000 0.000
As: 0.500 0.000 0.000
As: 0.287 0.809 0.619
Ac: 0.404 0.396 0.798
As: 0.715 0.191 0.381
As: 0.906 0.381 0.809
As: 0.096 0.619 0.191
Ac: 0.598 0.604 0.202


[3]
First-principles (PBE-GGA) data for a geometry-optimized FeRuRh2 structure, as listed in Alexandria.

Values from the calculation:
E in eV/cell: -32.4
Space group: Pmmm (47)
Volume in Å³ per atom: 13.653
DFT formation energy in eV per atom: 0.02
Crystal system: orthorhombic

Cell: 3.755 2.709 6.015 Å, 63.19 90.00 90.00°
Element x y z (fractional)
Fe: 0.500 0.750 0.750
Ru: 0.500 0.250 0.250
Rh: 0.000 0.498 0.502
Rh: 0.000 0.002 0.998


Q: What is the E in the third record?
A: -32.4 eV/cell